<one>
# TbY2Tm3

A relaxed structure of TbY2Tm3 (PBE, the Alexandria database).

a = 5.5442 Å, b = 8.8854 Å, c = 8.8854 Å
α = 111.72°, β = 90.00°, γ = 90.00°
Last column: nearest neighbours and their distance in Å.
Fractional coordinates of all 12 atoms:
Tm 0.4925 0.9106 0.9106  3 Tb 3.28-3.55, 4 Tm 3.30-3.54, 2 Y 3.49
Tm 0.9934 0.3671 0.8890  2 Y 3.18-3.31, 1 Tm 3.54
Tm 0.9925 0.0894 0.0894  3 Tb 3.28-3.55, 4 Tm 3.30-3.54, 2 Y 3.49
Y 0.9930 0.5100 0.2898  3 Tm 3.18-3.49, 3 Y 3.24-3.42, 2 Tb 3.48
Tb 0.4927 0.2662 0.2662  3 Tm 3.28-3.55, 4 Y 3.48
Tm 0.9934 0.8890 0.3671  2 Y 3.18-3.31, 1 Tm 3.54
Tb 0.9927 0.7338 0.7338  3 Tm 3.28-3.55, 4 Y 3.48
Tm 0.4934 0.6329 0.1110  2 Y 3.18-3.31, 1 Tm 3.54
Y 0.4930 0.7102 0.4900  3 Tm 3.18-3.49, 3 Y 3.24-3.42, 2 Tb 3.48
Tm 0.4934 0.1110 0.6329  2 Y 3.18-3.31, 1 Tm 3.54
Y 0.9930 0.2898 0.5100  3 Tm 3.18-3.49, 3 Y 3.24-3.42, 2 Tb 3.48
Y 0.4930 0.4900 0.7102  3 Tm 3.18-3.49, 3 Y 3.24-3.42, 2 Tb 3.48

Output
Crystal system = orthorhombic
D(E_F) = 1.64 states/eV per atom

=====

<two>
# TbY2Tm3

A relaxed structure of TbY2Tm3 (PBE, the Alexandria database).

a = 6.1052 Å, b = 7.0597 Å, c = 9.3379 Å
α = 112.21°, β = 89.96°, γ = 90.00°
Last column: nearest neighbours and their distance in Å.
Fractional coordinates of all 12 atoms:
Tm 0.4174 0.9584 0.6672  6 Y 3.52-3.53, 2 Tb 3.52, 4 Tm 3.52-3.54
Y 0.0840 0.7920 0.3335  8 Tm 3.52-3.53, 3 Y 3.53, 1 Tb 3.53
Tm 0.0826 0.2911 0.3328  6 Y 3.52-3.53, 2 Tb 3.52, 4 Tm 3.52-3.54
Y 0.4160 0.4586 0.6666  8 Tm 3.52-3.53, 3 Y 3.53, 1 Tb 3.53
Tm 0.2500 0.3745 0.0000  4 Tb 3.52-3.54, 4 Tm 3.53, 4 Y 3.53
Tb 0.7500 0.1243 0.0000  2 Tb 3.52, 8 Tm 3.52-3.54, 2 Y 3.53
Tm 0.9174 0.7089 0.6672  6 Y 3.52-3.53, 2 Tb 3.52, 4 Tm 3.52-3.54
Y 0.9160 0.2080 0.6666  8 Tm 3.52-3.53, 3 Y 3.53, 1 Tb 3.53
Tm 0.7500 0.6255 0.0000  4 Tb 3.52-3.54, 4 Tm 3.53, 4 Y 3.53
Y 0.5840 0.5414 0.3335  8 Tm 3.52-3.53, 3 Y 3.53, 1 Tb 3.53
Tm 0.5826 0.0416 0.3328  6 Y 3.52-3.53, 2 Tb 3.52, 4 Tm 3.52-3.54
Tb 0.2500 0.8757 0.0000  2 Tb 3.52, 8 Tm 3.52-3.54, 2 Y 3.53

Output
Crystal system = monoclinic
D(E_F) = 1.51 states/eV per atom

=====

Least stable structure: <one>